(1)
This record from Alexandria via LeMat-Bulk describes an optimized crystal structure of Cs3LaU3Te8. The functional is PBE.

As for the space-group type: R-3m (166). For the formation energy without anion corrections, the calculation gives -984 meV/atom.

The structure in POSCAR format:
```
Cs3LaU3Te8
1.0
4.553 2.629 9.079
-4.553 2.629 9.079
0.000 -5.257 9.079
Cs La U Te
3 1 3 8
Cartesian
-2.276 -1.314 9.079
-2.276 1.314 18.158
0.000 2.629 9.079
0.000 0.000 13.618
-4.553 0.000 13.618
-2.276 1.314 4.539
2.276 1.314 4.539
-2.362 -1.364 15.370
0.000 0.000 6.267
0.000 -2.728 11.867
-2.362 1.364 11.867
2.362 -1.364 15.370
0.000 2.728 15.370
0.000 0.000 20.970
2.362 1.364 11.867
```

(2)
This record from Alexandria via LeMat-Bulk describes an optimized crystal structure of Rb2NdBO4. The functional is PBE.

As for the space-group type: Fddd (70). For the formation energy without anion corrections, the calculation gives -1950 meV/atom.

The structure in POSCAR format:
```
Rb2NdBO4
1.0
0.000 5.813 12.175
2.648 0.000 12.175
2.648 5.813 0.000
Rb Nd B O
4 2 2 8
Cartesian
1.986 4.360 1.428
3.310 7.267 7.516
1.986 4.360 16.833
3.310 7.267 22.921
0.662 1.453 3.044
4.635 10.173 21.305
1.986 4.360 9.131
3.310 7.267 15.218
2.836 3.433 8.249
2.836 5.287 10.013
4.160 6.340 16.100
1.137 3.433 10.013
4.160 8.194 14.336
1.137 5.287 8.249
2.461 6.340 14.336
2.461 8.194 16.100
```

(3)
This record from Alexandria via LeMat-Bulk describes an optimized crystal structure of MoIrOs2. The functional is PBE.

As for the space-group type: P4/mmm (123). The polymorph energy (0 for the lowest one) comes out at 0 meV/atom. As for the formation energy: -0.40 eV per formula unit.

The structure in POSCAR format:
```
MoIrOs2
1.0
3.893 0.000 0.000
0.000 3.893 0.000
0.000 0.000 3.871
Mo Ir Os
1 1 2
Cartesian
0.000 0.000 0.000
1.946 1.946 0.000
0.000 1.946 1.936
1.946 0.000 1.936
```

(4)
This record from Alexandria via LeMat-Bulk describes an optimized crystal structure of Li2LaMg2. The functional is PBE.

As for the space-group type: C2/m (12). The polymorph energy (0 for the lowest one) comes out at 0 meV/atom. As for the formation energy: -0.21 eV per formula unit.

The structure in POSCAR format:
```
Li2LaMg2
1.0
10.067 -1.761 0.000
10.067 1.761 0.000
-0.610 0.000 3.474
Li La Mg
2 1 2
Cartesian
4.075 0.000 0.726
15.448 0.000 2.748
0.000 0.000 0.000
7.334 0.000 1.304
12.189 0.000 2.171
```

(5)
This record from Alexandria via LeMat-Bulk describes an optimized crystal structure of TaBe2Tl. The functional is PBE.

As for the space-group type: Cm (8). The polymorph energy (0 for the lowest one) comes out at 170 meV/atom. As for the formation energy: 2.11 eV per formula unit.

The structure in POSCAR format:
```
TaBe2Tl
1.0
4.779 -1.438 0.000
4.779 1.438 0.000
-1.463 0.000 4.377
Ta Be Tl
1 2 1
Cartesian
0.000 0.000 0.000
1.079 0.000 3.769
4.445 0.000 2.445
6.971 0.000 1.658
```

(6)
This record from Alexandria via LeMat-Bulk describes an optimized crystal structure of Mg4HIr2. The functional is PBE.

As for the space-group type: I4/mmm (139). The polymorph energy (0 for the lowest one) comes out at 264 meV/atom.

The structure in POSCAR format:
```
Mg4HIr2
1.0
-1.980 1.980 6.946
1.980 -1.980 6.946
1.980 1.980 -6.946
Mg H Ir
4 1 2
Cartesian
1.980 0.000 0.000
0.000 0.000 2.411
0.000 1.980 0.000
0.000 0.000 11.481
0.000 0.000 0.000
0.000 0.000 5.085
0.000 0.000 8.806
```

(7)
This record from Alexandria via LeMat-Bulk describes an optimized crystal structure of Tb5Pm8Pr. The functional is PBE.

As for the space-group type: I-4 (82). As for the formation energy: 3.29 eV per formula unit.

The structure in POSCAR format:
```
Tb5Pm8Pr
1.0
-4.824 4.824 5.197
4.824 -4.824 5.197
4.824 4.824 -5.197
Tb Pm Pr
5 8 1
Cartesian
0.000 0.000 0.000
1.990 -1.056 4.445
3.768 2.833 0.752
2.833 5.879 -0.752
1.056 1.990 5.948
3.131 -0.681 1.063
3.992 3.105 -2.631
6.516 0.681 1.063
5.505 -1.692 4.134
0.832 1.719 2.565
4.142 1.692 4.134
1.719 -0.832 7.828
3.105 5.655 2.631
0.000 4.824 2.598
```

(8)
This record from Alexandria via LeMat-Bulk describes an optimized crystal structure of SrPrTlZn. The functional is PBE.

As for the space-group type: P4mm (99). The polymorph energy (0 for the lowest one) comes out at 0 meV/atom. As for the formation energy: -1.28 eV per formula unit.

The structure in POSCAR format:
```
SrPrTlZn
1.0
3.872 0.000 0.000
0.000 3.872 0.000
0.000 0.000 8.013
Sr Pr Tl Zn
1 1 1 1
Cartesian
0.000 0.000 0.000
0.000 0.000 3.736
1.936 1.936 5.766
1.936 1.936 2.068
```

(9)
This record from Alexandria via LeMat-Bulk describes an optimized crystal structure of Sm3NbN3. The functional is PBE.

As for the space-group type: Cmcm (63). For the formation energy without anion corrections, the calculation gives -1224 meV/atom.

The structure in POSCAR format:
```
Sm3NbN3
1.0
4.528 -5.120 0.000
4.528 5.120 0.000
0.000 0.000 5.175
Sm Nb N
6 2 6
Cartesian
4.528 3.996 3.882
2.505 1.222 3.882
2.505 -1.222 1.294
6.551 1.222 3.882
6.551 -1.222 1.294
4.528 -3.996 1.294
4.528 1.772 1.294
4.528 -1.772 3.882
4.528 3.813 1.294
2.506 1.317 1.294
2.506 -1.317 3.882
6.550 1.317 1.294
6.550 -1.317 3.882
4.528 -3.813 3.882
```

(10)
This record from Alexandria via LeMat-Bulk describes an optimized crystal structure of Zr2FeNi. The functional is PBE.

As for the space-group type: R3m (160). The polymorph energy (0 for the lowest one) comes out at 474 meV/atom. As for the formation energy: 0.83 eV per formula unit.

The structure in POSCAR format:
```
Zr2FeNi
1.0
1.557 0.899 8.476
-1.557 0.899 8.476
0.000 -1.798 8.476
Zr Fe Ni
2 1 1
Cartesian
0.000 0.000 0.000
0.000 0.000 5.856
0.000 0.000 12.153
0.000 0.000 18.997
```

(11)
This record from Alexandria via LeMat-Bulk describes an optimized crystal structure of AcTb4Tm5. The functional is PBE.

As for the space-group type: C2/m (12). As for the formation energy: 2.24 eV per formula unit.

The structure in POSCAR format:
```
AcTb4Tm5
1.0
8.553 -1.783 0.000
8.553 1.783 0.000
-0.134 0.000 11.053
Ac Tb Tm
1 4 5
Cartesian
0.000 0.000 0.000
2.585 0.000 2.761
8.042 0.000 2.859
8.930 0.000 8.195
14.388 0.000 8.292
-0.067 0.000 5.527
5.514 0.000 0.630
5.531 0.000 5.025
11.441 0.000 6.029
11.459 0.000 10.423
```

(12)
This record from Alexandria via LeMat-Bulk describes an optimized crystal structure of Tl2NiSe. The functional is PBE.

As for the space-group type: I-42d (122). The polymorph energy (0 for the lowest one) comes out at 407 meV/atom. For the formation energy without anion corrections, the calculation gives 236 meV/atom.

The structure in POSCAR format:
```
Tl2NiSe
1.0
-3.327 3.327 5.425
3.327 -3.327 5.425
3.327 3.327 -5.425
Tl Ni Se
4 2 2
Cartesian
4.991 1.422 -1.356
1.422 1.664 1.356
-1.664 1.905 4.068
1.905 1.664 6.781
0.000 0.000 0.000
0.000 3.327 2.712
3.327 0.000 2.712
0.000 0.000 5.425
```